Entry from Alexandria: an optimized crystal structure of TmTh4In15 (PBE-GGA).

The structure belongs to space group P4/mmm (No. 123); the cell edges are 4.720, 4.720 and 23.550 Å and the angles 90.00°, 90.00° and 90.00°. The inequivalent atoms are Tm at (0.000, 0.000, 0.000), Th at (0.000, 0.000, 0.196), Th at (0.000, 0.000, 0.399), In at (0.000, 0.500, 0.095), In at (0.000, 0.500, 0.298), In at (0.000, 0.500, 0.500), In at (0.500, 0.500, 0.000), In at (0.500, 0.500, 0.197) and In at (0.500, 0.500, 0.399).

For the density of states at the Fermi level, the calculation gives 13.2 states/eV/f.u. The value obtained for the energy is -82.2 eV for the cell shown. The value obtained for the magnetic moment is 0.000 μB per formula unit.

---

Entry from Alexandria: an optimized crystal structure of CuTcGeRh (PBE-GGA).

The structure belongs to space group F-43m (No. 216); the cell edges are 6.027, 6.027 and 6.027 Å and the angles 90.00°, 90.00° and 90.00°. The inequivalent atoms are Cu at (0.000, 0.000, 0.000), Tc at (0.250, 0.250, 0.750), Ge at (0.000, 0.000, 0.500) and Rh at (0.250, 0.250, 0.250).

For the density of states at the Fermi level, the calculation gives 4.7 states/eV/f.u. The value obtained for the energy is -107.1 eV for the cell shown. The value obtained for the magnetic moment is 0.000 μB per formula unit.

---

Entry from Alexandria: an optimized crystal structure of Sm2DyCu2 (PBE-GGA).

The structure belongs to space group C2/m (No. 12); the cell edges are 11.773, 4.665 and 10.276 Å and the angles 90.00°, 120.52° and 90.00°. The inequivalent atoms are Sm at (0.037, 0.000, 0.192), Sm at (0.181, 0.000, 0.590), Dy at (0.192, 0.500, 0.851), Cu at (0.051, 0.500, 0.415) and Cu at (0.124, 0.500, 0.073).

For the density of states at the Fermi level, the calculation gives 4.2 states/eV/f.u. The value obtained for the energy is -91.3 eV for the cell shown. The value obtained for the magnetic moment is 0.000 μB per formula unit.

---

no.,ρ (g/cm3),formation enthalpy at 0 K (eV/atom),V (Å³/f.u.)
1,8.9,-0.3480,524.75
2,10.2,-0.0850,54.73
3,8.1,-0.1172,121.55